Material: MnAgI2N
Method: DFT, PBE-GGA
State: optimized geometry

Structure (extended XYZ):
```
5
Lattice="5.874 0.000 0.000 0.000 5.874 0.000 0.000 0.000 3.865" Properties=species:S:1:pos:R:3 pbc="T T T"
Mn 0.000 0.000 0.000
Ag 2.937 2.937 1.932
I 0.000 2.937 1.932
I 2.937 0.000 1.932
N 2.937 2.937 0.000
```

Computed properties:
- raw total energy (eV/atom) = -2.966
- size of the total moment (μB/cell) = 0.25
- Fermi-level density of states (states/eV/atom) = 1.690
- offset from the most stable computed form (meV per atom) = 1456.6
- symmetry = P4/mmm (123)
- formation energy from raw total energies (kJ/mol of atoms) = 166.3